VASP calculation (GGA-PBE) on a relaxed structure of La12Pm7Dy.

a = 11.5994 Å, b = 11.5994 Å, c = 11.5994 Å
α = 116.66°, β = 116.66°, γ = 116.66°
Last column: nearest neighbours and their distance in Å.
Fractional coordinates of all 20 atoms:
1 La 0.0000 0.4075 0.5925  3 La 3.32-3.65, 2 Pm 3.38
2 La 0.0000 0.5925 0.4075  3 La 3.32-3.65, 2 Pm 3.38
3 La 0.0699 0.0699 0.4252  1 La 3.31, 4 Pm 3.36-3.68
4 La 0.0699 0.4252 0.0699  1 La 3.31, 4 Pm 3.36-3.68
5 La 0.4075 0.0000 0.5925  3 La 3.32-3.65, 2 Pm 3.38
6 La 0.4075 0.5925 0.0000  3 La 3.32-3.65, 2 Pm 3.38
7 La 0.4252 0.0699 0.0699  1 La 3.31, 4 Pm 3.36-3.68
8 La 0.5748 0.9301 0.9301  1 La 3.31, 4 Pm 3.36-3.68
9 La 0.5925 0.0000 0.4075  3 La 3.32-3.65, 2 Pm 3.38
10 La 0.5925 0.4075 0.0000  3 La 3.32-3.65, 2 Pm 3.38
11 La 0.9301 0.5748 0.9301  1 La 3.31, 4 Pm 3.36-3.68
12 La 0.9301 0.9301 0.5748  1 La 3.31, 4 Pm 3.36-3.68
13 Pm 0.0000 0.0000 0.0000  2 Dy 3.22, 6 Pm 3.46
14 Pm 0.1331 0.3845 0.3845  1 Dy 3.14, 4 La 3.36-3.50, 1 Pm 3.46
15 Pm 0.3845 0.1331 0.3845  1 Dy 3.14, 4 La 3.36-3.50, 1 Pm 3.46
16 Pm 0.3845 0.3845 0.1331  1 Dy 3.14, 4 La 3.36-3.50, 1 Pm 3.46
17 Pm 0.6155 0.6155 0.8669  1 Dy 3.14, 4 La 3.36-3.50, 1 Pm 3.46
18 Pm 0.6155 0.8669 0.6155  1 Dy 3.14, 4 La 3.36-3.50, 1 Pm 3.46
19 Pm 0.8669 0.6155 0.6155  1 Dy 3.14, 4 La 3.36-3.50, 1 Pm 3.46
20 Dy 0.5000 0.5000 0.5000  8 Pm 3.14-3.22

Properties
As for the density: 6.52 Mg/m³. The formation energy comes out at 175 meV per atom.



VASP calculation (GGA-PBE) on a relaxed structure of La6Pm8Dy.

a = 8.9074 Å, b = 8.9074 Å, c = 8.9074 Å
α = 63.17°, β = 63.17°, γ = 63.17°
Last column: nearest neighbours and their distance in Å.
Fractional coordinates of all 15 atoms:
1 La 0.0369 0.5952 0.7374  4 Pm 3.44-3.77, 1 Dy 3.58, 2 La 3.64
2 La 0.2626 0.9631 0.4048  4 Pm 3.44-3.77, 1 Dy 3.58, 2 La 3.64
3 La 0.4048 0.2626 0.9631  4 Pm 3.44-3.77, 1 Dy 3.58, 2 La 3.64
4 La 0.5952 0.7374 0.0369  4 Pm 3.44-3.77, 1 Dy 3.58, 2 La 3.64
5 La 0.7374 0.0369 0.5952  4 Pm 3.44-3.77, 1 Dy 3.58, 2 La 3.64
6 La 0.9631 0.4048 0.2626  4 Pm 3.44-3.77, 1 Dy 3.58, 2 La 3.64
7 Pm 0.0773 0.0773 0.0773  4 Pm 3.29-3.52, 3 La 3.53
8 Pm 0.2091 0.6136 0.2588  3 La 3.44-3.77, 5 Pm 3.52-3.56, 1 Dy 3.61
9 Pm 0.2588 0.2091 0.6136  3 La 3.44-3.77, 5 Pm 3.52-3.56, 1 Dy 3.61
10 Pm 0.3864 0.7412 0.7909  3 La 3.44-3.77, 5 Pm 3.52-3.56, 1 Dy 3.61
11 Pm 0.6136 0.2588 0.2091  3 La 3.44-3.77, 5 Pm 3.52-3.56, 1 Dy 3.61
12 Pm 0.7412 0.7909 0.3864  3 La 3.44-3.77, 5 Pm 3.52-3.56, 1 Dy 3.61
13 Pm 0.7909 0.3864 0.7412  3 La 3.44-3.77, 5 Pm 3.52-3.56, 1 Dy 3.61
14 Pm 0.9227 0.9227 0.9227  4 Pm 3.29-3.52, 3 La 3.53
15 Dy 0.5000 0.5000 0.5000  6 La 3.58, 6 Pm 3.61

Properties
As for the density: 6.69 Mg/m³. The formation energy comes out at 102 meV per atom.



VASP calculation (GGA-PBE) on a relaxed structure of La2Pm7Dy3.

a = 6.4844 Å, b = 3.5846 Å, c = 17.8011 Å
α = 90.00°, β = 96.00°, γ = 90.00°
Last column: nearest neighbours and their distance in Å.
Fractional coordinates of all 12 atoms:
1 La 0.0585 0.0000 0.1700  5 Pm 3.43-3.63, 2 La 3.58, 4 Dy 3.66-3.76
2 La 0.9415 0.0000 0.8300  5 Pm 3.43-3.63, 2 La 3.58, 4 Dy 3.66-3.76
3 Pm 0.0000 0.5000 0.5000  8 Pm 3.58-3.66, 4 Dy 3.70
4 Pm 0.2295 0.0000 0.6676  8 Pm 3.58-3.74, 1 La 3.60, 3 Dy 3.62-3.73
5 Pm 0.2582 0.0000 0.9971  2 Pm 3.13-3.36, 2 La 3.43-3.46
6 Pm 0.2773 0.5000 0.3366  7 Pm 3.58-3.74, 3 Dy 3.59-3.77, 2 La 3.63
7 Pm 0.7227 0.5000 0.6634  7 Pm 3.58-3.74, 3 Dy 3.59-3.77, 2 La 3.63
8 Pm 0.7418 0.0000 0.0029  2 Pm 3.13-3.36, 2 La 3.43-3.46
9 Pm 0.7705 0.0000 0.3324  8 Pm 3.58-3.74, 1 La 3.60, 3 Dy 3.62-3.73
10 Dy 0.4540 0.5000 0.8413  2 Dy 3.58, 7 Pm 3.64-3.77, 4 La 3.66-3.76
11 Dy 0.5000 0.0000 0.5000  2 Dy 3.58, 10 Pm 3.59-3.70
12 Dy 0.5460 0.5000 0.1587  2 Dy 3.58, 7 Pm 3.64-3.77, 4 La 3.66-3.76

Properties
As for the density: 7.18 Mg/m³. The formation energy comes out at 68 meV per atom.



VASP calculation (GGA-PBE) on a relaxed structure of LaPm2Pr5Dy.

a = 10.1470 Å, b = 10.1470 Å, c = 10.1470 Å
α = 126.90°, β = 126.90°, γ = 78.41°
Last column: nearest neighbours and their distance in Å.
Fractional coordinates of all 18 atoms:
1 La 0.2500 0.2500 0.0000  10 Pr 3.71-3.93
2 La 0.7500 0.7500 0.0000  10 Pr 3.71-3.93
3 Pm 0.1154 0.6154 0.7308  1 Pm 2.96, 2 Pr 3.13
4 Pm 0.3846 0.1154 0.5000  1 Pm 2.96, 2 Pr 3.13
5 Pm 0.6154 0.8846 0.5000  1 Pm 2.96, 2 Pr 3.13
6 Pm 0.8846 0.3846 0.2692  1 Pm 2.96, 2 Pr 3.13
7 Pr 0.0000 0.0000 0.0000  4 Pm 3.64, 8 Pr 3.90, 2 La 3.93
8 Pr 0.0702 0.1559 0.5000  1 Pm 3.13, 1 Dy 3.20
9 Pr 0.1559 0.6559 0.0857  1 Pm 3.13, 1 Dy 3.20
10 Pr 0.3441 0.4298 0.5000  1 Pm 3.13, 1 Dy 3.20
11 Pr 0.4298 0.9298 0.0857  1 Pm 3.13, 1 Dy 3.20
12 Pr 0.5000 0.5000 0.0000  4 Pm 3.64, 8 Pr 3.90, 2 La 3.93
13 Pr 0.5702 0.0702 0.9143  1 Pm 3.13, 1 Dy 3.20
14 Pr 0.6559 0.5702 0.5000  1 Pm 3.13, 1 Dy 3.20
15 Pr 0.8441 0.3441 0.9143  1 Pm 3.13, 1 Dy 3.20
16 Pr 0.9298 0.8441 0.5000  1 Pm 3.13, 1 Dy 3.20
17 Dy 0.2500 0.7500 0.5000  4 Pr 3.20
18 Dy 0.7500 0.2500 0.5000  4 Pr 3.20

Properties
As for the density: 6.65 Mg/m³. The formation energy comes out at 264 meV per atom.



VASP calculation (GGA-PBE) on a relaxed structure of La2PmPrDy2.

a = 7.1619 Å, b = 5.7998 Å, c = 10.0265 Å
α = 90.00°, β = 90.00°, γ = 90.00°
Last column: nearest neighbours and their distance in Å.
Fractional coordinates of all 12 atoms:
1 La 0.0000 0.0000 0.0000  6 La 3.58-3.81, 6 Dy 3.80, 2 Pr 3.81
2 La 0.2500 0.5000 0.1690  5 Dy 3.34-3.58
3 La 0.5000 0.0000 0.0000  6 La 3.58-3.81, 6 Dy 3.80, 2 Pr 3.81
4 La 0.7500 0.5000 0.8310  5 Dy 3.34-3.58
5 Pm 0.0000 0.5000 0.5000  2 Pm 3.58, 2 La 3.77, 6 Dy 3.79, 4 Pr 3.79
6 Pm 0.5000 0.5000 0.5000  2 Pm 3.58, 2 La 3.77, 6 Dy 3.79, 4 Pr 3.79
7 Pr 0.2500 0.0000 0.6649  5 Dy 3.31-3.58
8 Pr 0.7500 0.0000 0.3351  5 Dy 3.31-3.58
9 Dy 0.2500 0.0000 0.3345  3 Pr 3.31-3.58, 2 La 3.34
10 Dy 0.2500 0.5000 0.8327  2 Pr 3.35, 3 La 3.37-3.58
11 Dy 0.7500 0.0000 0.6655  3 Pr 3.31-3.58, 2 La 3.34
12 Dy 0.7500 0.5000 0.1673  2 Pr 3.35, 3 La 3.37-3.58

Properties
As for the density: 7.09 Mg/m³. The formation energy comes out at 64 meV per atom.



VASP calculation (GGA-PBE) on a relaxed structure of LaPm2PrDy.

a = 8.8721 Å, b = 6.5573 Å, c = 6.4465 Å
α = 90.00°, β = 104.17°, γ = 90.00°
Last column: nearest neighbours and their distance in Å.
Fractional coordinates of all 10 atoms:
1 La 0.0000 0.0000 0.0000  2 La 3.22, 2 Dy 3.43, 2 Pm 3.47
2 La 0.0000 0.0000 0.5000  2 La 3.22, 2 Dy 3.43, 2 Pm 3.47
3 Pm 0.3153 0.3246 0.1736  1 Pm 3.18, 2 Dy 3.27-3.52, 1 La 3.47, 1 Pr 3.56
4 Pm 0.3153 0.6754 0.6736  1 Pm 3.18, 2 Dy 3.27-3.52, 1 La 3.47, 1 Pr 3.56
5 Pm 0.6847 0.3246 0.3264  1 Pm 3.18, 2 Dy 3.27-3.52, 1 La 3.47, 1 Pr 3.56
6 Pm 0.6847 0.6754 0.8264  1 Pm 3.18, 2 Dy 3.27-3.52, 1 La 3.47, 1 Pr 3.56
7 Pr 0.5000 0.1606 0.7500  8 Pm 3.56-3.83, 2 Pr 3.85
8 Pr 0.5000 0.8394 0.2500  8 Pm 3.56-3.83, 2 Pr 3.85
9 Dy 0.0000 0.4621 0.7500  2 Dy 3.26, 4 Pm 3.27-3.52, 2 La 3.43
10 Dy 0.0000 0.5379 0.2500  2 Dy 3.26, 4 Pm 3.27-3.52, 2 La 3.43

Properties
As for the density: 6.69 Mg/m³. The formation energy comes out at 259 meV per atom.



VASP calculation (GGA-PBE) on a relaxed structure of LaPm6Pr3Dy2.

a = 6.3372 Å, b = 6.3372 Å, c = 12.1576 Å
α = 95.00°, β = 95.00°, γ = 119.99°
Last column: nearest neighbours and their distance in Å.
Fractional coordinates of all 12 atoms:
1 La 0.0000 0.0000 0.0000  6 Pm 3.64-3.65, 6 Dy 3.66
2 Pm 0.0828 0.4174 0.2476  2 Dy 3.64, 1 La 3.64, 6 Pm 3.65-3.67, 3 Pr 3.68-3.69
3 Pm 0.2516 0.2516 0.7522  2 Dy 3.64, 1 La 3.65, 6 Pm 3.65-3.67, 3 Pr 3.68-3.69
4 Pm 0.4174 0.0828 0.2476  2 Dy 3.64, 1 La 3.64, 6 Pm 3.65-3.67, 3 Pr 3.68-3.69
5 Pm 0.5826 0.9172 0.7524  2 Dy 3.64, 1 La 3.64, 6 Pm 3.65-3.67, 3 Pr 3.68-3.69
6 Pm 0.7484 0.7484 0.2478  2 Dy 3.64, 1 La 3.65, 6 Pm 3.65-3.67, 3 Pr 3.68-3.69
7 Pm 0.9172 0.5826 0.7524  2 Dy 3.64, 1 La 3.64, 6 Pm 3.65-3.67, 3 Pr 3.68-3.69
8 Pr 0.1671 0.8329 0.5000  6 Pr 3.65-3.67, 6 Pm 3.68-3.69
9 Pr 0.5000 0.5000 0.5000  6 Pr 3.65-3.66, 6 Pm 3.68-3.69
10 Pr 0.8329 0.1671 0.5000  6 Pr 3.65-3.67, 6 Pm 3.68-3.69
11 Dy 0.3334 0.6666 0.0000  6 Pm 3.64, 3 Dy 3.66, 3 La 3.66
12 Dy 0.6666 0.3334 0.0000  6 Pm 3.64, 3 Dy 3.66, 3 La 3.66

Properties
As for the density: 7.01 Mg/m³. The formation energy comes out at 18 meV per atom.



VASP calculation (GGA-PBE) on a relaxed structure of La2PmPr2Dy2.

a = 11.5730 Å, b = 5.1823 Å, c = 8.2297 Å
α = 90.00°, β = 98.03°, γ = 90.00°
Last column: nearest neighbours and their distance in Å.
Fractional coordinates of all 14 atoms:
1 La 0.1420 0.0000 0.4272  5 Dy 3.65-3.68, 3 La 3.65-3.68, 1 Pm 3.67, 3 Pr 3.67-3.70
2 La 0.3580 0.5000 0.5728  5 Dy 3.65-3.68, 3 La 3.65-3.68, 1 Pm 3.67, 3 Pr 3.67-3.70
3 La 0.6420 0.5000 0.4272  5 Dy 3.65-3.68, 3 La 3.65-3.68, 1 Pm 3.67, 3 Pr 3.67-3.70
4 La 0.8580 0.0000 0.5728  5 Dy 3.65-3.68, 3 La 3.65-3.68, 1 Pm 3.67, 3 Pr 3.67-3.70
5 Pm 0.0000 0.0000 0.0000  6 Pr 3.65-3.67, 2 La 3.67, 4 Dy 3.67
6 Pm 0.5000 0.5000 0.0000  6 Pr 3.65-3.67, 2 La 3.67, 4 Dy 3.67
7 Pr 0.2146 0.5000 0.1420  3 Pm 3.65-3.67, 2 Pr 3.66, 4 Dy 3.66-3.68, 3 La 3.67-3.70
8 Pr 0.2854 0.0000 0.8580  3 Pm 3.65-3.67, 2 Pr 3.66, 4 Dy 3.66-3.68, 3 La 3.67-3.70
9 Pr 0.7146 0.0000 0.1420  3 Pm 3.65-3.67, 2 Pr 3.66, 4 Dy 3.66-3.68, 3 La 3.67-3.70
10 Pr 0.7854 0.5000 0.8580  3 Pm 3.65-3.67, 2 Pr 3.66, 4 Dy 3.66-3.68, 3 La 3.67-3.70
11 Dy 0.0708 0.5000 0.7143  5 La 3.65-3.68, 4 Pr 3.66-3.68, 2 Pm 3.67, 1 Dy 3.68
12 Dy 0.4292 0.0000 0.2857  5 La 3.65-3.68, 4 Pr 3.66-3.68, 2 Pm 3.67, 1 Dy 3.68
13 Dy 0.5708 0.0000 0.7143  5 La 3.65-3.68, 4 Pr 3.66-3.68, 2 Pm 3.67, 1 Dy 3.68
14 Dy 0.9292 0.5000 0.2857  5 La 3.65-3.68, 4 Pr 3.66-3.68, 2 Pm 3.67, 1 Dy 3.68

Properties
As for the density: 7.00 Mg/m³. The formation energy comes out at 22 meV per atom.



VASP calculation (GGA-PBE) on a relaxed structure of La2PmPr4Dy2.

a = 9.8017 Å, b = 9.8017 Å, c = 9.8526 Å
α = 115.30°, β = 115.30°, γ = 21.85°
Last column: nearest neighbours and their distance in Å.
Fractional coordinates of all 9 atoms:
1 La 0.1667 0.1667 0.4978  3 Dy 3.63-3.65, 3 Pr 3.65-3.66, 4 La 3.69-3.72, 2 Pm 3.72
2 La 0.8333 0.8333 0.5022  3 Dy 3.63-3.65, 3 Pr 3.65-3.66, 4 La 3.69-3.72, 2 Pm 3.72
3 Pm 0.5000 0.5000 0.5000  6 Pr 3.66-3.68, 2 Pm 3.72, 4 La 3.72
4 Pr 0.0184 0.0184 0.8364  5 Pr 3.59-3.74, 4 Dy 3.64-3.70, 1 La 3.65, 2 Pm 3.68
5 Pr 0.3139 0.3139 0.1669  6 Pr 3.64-3.74, 1 Pm 3.66, 3 Dy 3.66-3.69, 2 La 3.66
6 Pr 0.6861 0.6861 0.8331  6 Pr 3.64-3.74, 1 Pm 3.66, 3 Dy 3.66-3.69, 2 La 3.66
7 Pr 0.9816 0.9816 0.1636  5 Pr 3.59-3.74, 4 Dy 3.64-3.70, 1 La 3.65, 2 Pm 3.68
8 Dy 0.3515 0.3515 0.8329  3 La 3.63-3.65, 7 Pr 3.64-3.70, 2 Dy 3.72
9 Dy 0.6485 0.6485 0.1671  3 La 3.63-3.65, 7 Pr 3.64-3.70, 2 Dy 3.72

Properties
As for the density: 6.87 Mg/m³. The formation energy comes out at 7 meV per atom.



VASP calculation (GGA-PBE) on a relaxed structure of La4PmPr2Dy.

a = 5.2400 Å, b = 5.2694 Å, c = 10.3492 Å
α = 90.00°, β = 90.09°, γ = 90.00°
Last column: nearest neighbours and their distance in Å.
Fractional coordinates of all 8 atoms:
1 La 0.9999 0.0000 0.2490  4 Pr 3.67-3.70, 2 Dy 3.69, 2 Pm 3.69, 4 La 3.71-3.72
2 La 0.0001 0.0000 0.7510  4 Pr 3.67-3.70, 2 Dy 3.69, 2 Pm 3.69, 4 La 3.71-3.72
3 La 0.4992 0.5000 0.2481  2 Dy 3.66-3.67, 4 Pr 3.68-3.70, 2 Pm 3.71, 4 La 3.71-3.72
4 La 0.5008 0.5000 0.7519  2 Dy 3.66-3.67, 4 Pr 3.68-3.70, 2 Pm 3.71, 4 La 3.71-3.72
5 Pm 0.5000 0.0000 0.5000  8 La 3.69-3.71, 4 Pr 3.72
6 Pr 0.0000 0.5000 0.5000  8 La 3.70, 4 Pm 3.72
7 Pr 0.5000 0.0000 0.0000  8 La 3.67-3.68, 4 Dy 3.72
8 Dy 0.0000 0.5000 0.0000  8 La 3.66-3.69, 4 Pr 3.72

Properties
As for the density: 6.65 Mg/m³. The formation energy comes out at 13 meV per atom.